one | Material: VSnN2F
Method: DFT, PBE with a Hubbard U
State: relaxed

Lattice parameters (Å, degrees): 3.925 3.925 4.016 90.00 90.00 90.00
Space group P4/mmm (No. 123)
Inequivalent atoms, fractional coordinates:
V (0.000, 0.000, 0.000) (multiplicity 1)
Sn (0.500, 0.500, 0.500) (multiplicity 1)
N (0.000, 0.500, 0.000) (multiplicity 2)
F (0.000, 0.000, 0.500) (multiplicity 1)

Calculated values
Fermi-level density of states (states/eV/atom): 0.355
Magnetization (μB/cell): 0.00


two | Material: VSnN2F
Method: DFT, PBE with a Hubbard U
State: relaxed

Lattice parameters (Å, degrees): 4.135 4.135 4.102 90.00 90.00 90.00
Space group P4/mmm (No. 123)
Inequivalent atoms, fractional coordinates:
V (0.000, 0.000, 0.000) (multiplicity 1)
Sn (0.500, 0.500, 0.500) (multiplicity 1)
N (0.000, 0.500, 0.500) (multiplicity 2)
F (0.500, 0.500, 0.000) (multiplicity 1)

Calculated values
Fermi-level density of states (states/eV/atom): 0.305
Magnetization (μB/cell): 0.04


Which is most stable, and by how much? one, by 766 meV per atom.


one | Material: VSnNF2
Method: DFT, PBE with a Hubbard U
State: relaxed

Lattice parameters (Å, degrees): 4.342 4.342 4.090 90.00 90.00 90.00
Space group P4/mmm (No. 123)
Inequivalent atoms, fractional coordinates:
V (0.000, 0.000, 0.000) (multiplicity 1)
Sn (0.500, 0.500, 0.500) (multiplicity 1)
N (0.500, 0.500, 0.000) (multiplicity 1)
F (0.000, 0.500, 0.500) (multiplicity 2)

Calculated values
Fermi-level density of states (states/eV/atom): 0.316
Magnetization (μB/cell): 3.55


two | Material: VSnNF2
Method: DFT, PBE with a Hubbard U
State: relaxed

Lattice parameters (Å, degrees): 4.118 4.118 4.012 90.00 90.00 90.00
Space group P4/mmm (No. 123)
Inequivalent atoms, fractional coordinates:
V (0.000, 0.000, 0.000) (multiplicity 1)
Sn (0.500, 0.500, 0.500) (multiplicity 1)
N (0.000, 0.000, 0.500) (multiplicity 1)
F (0.000, 0.500, 0.000) (multiplicity 2)

Calculated values
Fermi-level density of states (states/eV/atom): 0.217
Magnetization (μB/cell): 1.90


Which is most stable, and by how much? two, by 637 meV per atom.


one | Material: SnWNF2
Method: DFT, PBE with a Hubbard U
State: relaxed

Lattice parameters (Å, degrees): 4.303 4.303 4.368 90.00 90.00 90.00
Space group P4/mmm (No. 123)
Inequivalent atoms, fractional coordinates:
Sn (0.000, 0.000, 0.000) (multiplicity 1)
W (0.500, 0.500, 0.500) (multiplicity 1)
N (0.000, 0.000, 0.500) (multiplicity 1)
F (0.000, 0.500, 0.000) (multiplicity 2)

Calculated values
Fermi-level density of states (states/eV/atom): 0.186
Magnetization (μB/cell): 4.31


two | Material: SnWNF2
Method: DFT, PBE with a Hubbard U
State: relaxed

Lattice parameters (Å, degrees): 4.326 4.326 4.137 90.00 90.00 90.00
Space group P4/mmm (No. 123)
Inequivalent atoms, fractional coordinates:
Sn (0.000, 0.000, 0.000) (multiplicity 1)
W (0.500, 0.500, 0.500) (multiplicity 1)
N (0.500, 0.500, 0.000) (multiplicity 1)
F (0.000, 0.500, 0.500) (multiplicity 2)

Calculated values
Fermi-level density of states (states/eV/atom): 0.187
Magnetization (μB/cell): 2.39


Which is most stable, and by how much? two, by 652 meV per atom.


one | Material: SnWN2F
Method: DFT, PBE with a Hubbard U
State: relaxed

Lattice parameters (Å, degrees): 4.169 4.169 3.996 90.00 90.00 90.00
Space group P4/mmm (No. 123)
Inequivalent atoms, fractional coordinates:
Sn (0.000, 0.000, 0.000) (multiplicity 1)
W (0.500, 0.500, 0.500) (multiplicity 1)
N (0.000, 0.500, 0.000) (multiplicity 2)
F (0.000, 0.000, 0.500) (multiplicity 1)

Calculated values
Fermi-level density of states (states/eV/atom): 0.167
Magnetization (μB/cell): 2.99


two | Material: SnWN2F
Method: DFT, PBE with a Hubbard U
State: relaxed

Lattice parameters (Å, degrees): 4.101 4.101 4.190 90.00 90.00 90.00
Space group P4/mmm (No. 123)
Inequivalent atoms, fractional coordinates:
Sn (0.000, 0.000, 0.000) (multiplicity 1)
W (0.500, 0.500, 0.500) (multiplicity 1)
N (0.000, 0.500, 0.500) (multiplicity 2)
F (0.500, 0.500, 0.000) (multiplicity 1)

Calculated values
Fermi-level density of states (states/eV/atom): 0.240
Magnetization (μB/cell): 1.03


Which is most stable, and by how much? two, by 836 meV per atom.